Entry 1:
First-principles (PBE) data for a relaxed La12Mg3C5 crystal, as listed in the Alexandria database.

Values from the calculation:
DFT total energy = -5.37 eV per atom

Cell lengths 16.9595, 16.9595, 16.9595 Å; angles 90.00, 90.00, 90.00 degrees
Last column: nearest neighbours and their distance in Å.
Space group Ia-3d (No. 230)
Symmetry-distinct sites (fractional):
La: 0.0386 0.0499 0.6464 [96 per cell]  2 C 2.44-2.70
Mg: 0.0000 0.2500 0.1250 [24 per cell]  8 La 3.39-3.48
C: 0.0000 0.0000 0.0000 [16 per cell]  6 La 2.70
C: 0.0000 0.2500 0.3750 [24 per cell]  4 La 2.44

Entry 2:
First-principles (PBE) data for a relaxed La2MgC crystal, as listed in the Alexandria database.

Values from the calculation:
DFT total energy = -5.09 eV per atom

Cell lengths 5.4630, 10.4871, 8.1567 Å; angles 90.00, 90.00, 90.00 degrees
Last column: nearest neighbours and their distance in Å.
Space group Ima2 (No. 46)
Symmetry-distinct sites (fractional):
La: 0.2500 0.1066 0.0000 [4 per cell]  1 C 2.41
La: 0.2500 0.7152 0.2054 [4 per cell]  2 C 2.44-2.50
Mg: 0.2500 0.0643 0.4339 [4 per cell]  2 Mg 3.05
C: 0.2500 0.6227 0.4801 [4 per cell]  3 La 2.41-2.50

Entry 3:
First-principles (PBE) data for a relaxed La6Mg2C crystal, as listed in the Alexandria database.

Values from the calculation:
DFT total energy = -4.74 eV per atom

Cell lengths 12.8193, 7.4134, 7.4128 Å; angles 90.00, 125.33, 90.00 degrees
Last column: nearest neighbours and their distance in Å.
Space group C2/m (No. 12)
Symmetry-distinct sites (fractional):
La: 0.0009 0.2407 0.2603 [8 per cell]  1 C 2.52
La: 0.2415 0.0000 0.7435 [4 per cell]  1 C 2.53
Mg: 0.2500 0.0000 0.2500 [4 per cell]  12 La 3.69-3.72
C: 0.0000 0.0000 0.5000 [2 per cell]  6 La 2.52-2.53

Entry 4:
First-principles (PBE) data for a relaxed La3MgC crystal, as listed in the Alexandria database.

Values from the calculation:
DFT total energy = -5.19 eV per atom

Cell lengths 12.1063, 5.5497, 9.1446 Å; angles 90.00, 111.65, 90.00 degrees
Last column: nearest neighbours and their distance in Å.
Space group C2/m (No. 12)
Symmetry-distinct sites (fractional):
La: 0.1051 0.0000 0.2012 [4 per cell]  2 C 2.57-2.61
La: 0.1387 0.5000 0.9312 [4 per cell]  3 C 2.65-2.78
La: 0.1465 0.0000 0.6742 [4 per cell]  1 C 2.46
Mg: 0.1016 0.5000 0.4418 [4 per cell]  1 Mg 3.02
C: 0.1262 0.0000 0.9317 [4 per cell]  4 La 2.46-2.65

Entry 5:
First-principles (PBE) data for a relaxed La4Mg2C crystal, as listed in the Alexandria database.

Values from the calculation:
DFT total energy = -4.56 eV per atom

Cell lengths 5.3294, 5.3294, 16.0632 Å; angles 90.00, 90.00, 90.00 degrees
Last column: nearest neighbours and their distance in Å.
Space group I4/mmm (No. 139)
Symmetry-distinct sites (fractional):
La: 0.0000 0.0000 0.1553 [4 per cell]  1 C 2.50
La: 0.0000 0.5000 0.0000 [4 per cell]  2 C 2.66
Mg: 0.0000 0.0000 0.3671 [4 per cell]  9 La 3.40-3.79
C: 0.0000 0.0000 0.0000 [2 per cell]  6 La 2.50-2.66

Entry 6:
First-principles (PBE) data for a relaxed La3MgC crystal, as listed in the Alexandria database.

Values from the calculation:
DFT total energy = -5.19 eV per atom

Cell lengths 5.2827, 5.2827, 5.2827 Å; angles 90.00, 90.00, 90.00 degrees
Last column: nearest neighbours and their distance in Å.
Space group Pm-3m (No. 221)
Symmetry-distinct sites (fractional):
La: 0.0000 0.0000 0.5000 [3 per cell]  2 C 2.64
Mg: 0.5000 0.5000 0.5000 [1 per cell]  12 La 3.74
C: 0.0000 0.0000 0.0000 [1 per cell]  6 La 2.64

no.,formation enthalpy at 0 K (meV/atom)
1,133
2,77
3,-76
4,-67
5,28
6,-66